Entry from the Alexandria database: an optimized crystal structure of CoRh2PbF (PBE with a Hubbard U).

Lattice parameters (Å, degrees): 4.764 3.725 4.764 90.00 90.00 90.00
Each line ends with the local moment (μB).
Atoms (fractional coordinates):
Pb 0.500 0.500 0.500  -0.02
Co 0.000 0.000 0.000  2.12
Rh 0.000 0.000 0.500  0.63
Rh 0.500 0.000 0.000  0.34
F 0.000 0.500 0.000  -0.02

Output
* space-group type: P4/mmm, No. 123
* VASP energy: -4.914 eV/atom